1.
VASP calculation (PBE) on crystalline K4MgCu3F12 at its relaxed geometry.

Results
**Calculated volume**: 269.6 Å³ per cell
**E**: -88.61 eV for the cell shown
**ΔE to the lowest computed polymorph**: 0 meV/atom

```
20
Lattice="-1.7746 -6.5605 6.0588 7.9591 1.6832 -4.0888 1.0239 2.5227 3.0315" Properties=species:S:1:pos:R:3 pbc="T T T"
Cu 0.6488 -4.5081 3.5323
K 6.3613 -1.3477 1.7113
F 1.8547 -3.4867 2.2751
F 1.1625 -3.2453 5.0463
F -0.8873 -3.2803 3.0294
Cu 3.0922 -2.4387 0.9850
K 3.2976 1.0684 0.7355
F 4.6385 -3.6581 1.4775
F 4.3297 -1.3906 -0.3052
K 0.8471 -1.0069 3.2902
F 6.7593 0.6670 -2.8380
F 3.9795 0.8416 -2.0444
K 3.9108 -3.4231 4.2660
F 0.5120 1.2614 1.5158
F -0.5748 -5.5444 4.8079
F 3.6042 -1.1773 2.5007
Mg 0.0000 0.0000 0.0000
F 6.0459 0.8907 -0.0448
Cu 5.5356 -0.3693 -1.5623
F 1.5460 -1.2192 0.4924
```

---

2.
VASP calculation (PBE) on crystalline K4MgCu3F12 at its relaxed geometry.

Results
**Calculated volume**: 270.5 Å³ per cell
**E**: -88.48 eV for the cell shown
**ΔE to the lowest computed polymorph**: 7 meV/atom

```
20
Lattice="-5.5905 -0.6276 1.1462 -0.8209 -2.2074 -5.2359 1.4479 -7.5210 2.9437" Properties=species:S:1:pos:R:3 pbc="T T T"
F 1.0797 -5.6086 2.1952
F -3.6765 -4.7823 1.0257
K -0.0521 -2.9648 -1.8895
Cu 0.0000 0.0000 0.0000
F -4.8192 -2.1310 -3.0741
F -1.2870 -5.5737 -2.1717
Cu -3.2057 -1.4175 -2.0449
K -2.4370 -2.1749 1.3016
F -4.0863 -5.8875 -1.5965
F -0.8772 -4.4685 0.4506
Mg 0.7239 -3.7605 1.4719
F -1.5922 -0.7040 -1.0156
F -2.8533 -3.2482 -1.3283
F -2.1102 -7.1078 0.1823
K 0.6792 -6.7636 -0.4027
Cu -2.4817 -5.1780 -0.5730
F -4.3993 -1.0221 -0.4477
F 0.3682 -1.9124 0.7485
K -1.7057 -5.9737 2.7884
F -2.0121 -1.8129 -3.6420
```

---

3.
VASP calculation (PBE) on crystalline KMgCuF6 at its relaxed geometry.

Results
**Calculated volume**: 266.8 Å³ per cell
**E**: -79.97 eV for the cell shown

```
18
Lattice="7.1221 0.0000 0.0000 0.0000 7.3292 0.0000 -3.5611 -3.6646 5.1112" Properties=species:S:1:pos:R:3 pbc="T T T"
F 2.1774 -0.3027 1.2795
F 3.5611 -1.8323 3.3531
F -1.3837 -0.3027 3.8317
F 1.3837 -0.3027 3.8317
F 3.5611 1.8323 0.5453
Cu 3.5611 0.0000 0.0000
Mg 1.7805 -1.8323 2.5556
K 3.5611 1.8323 4.0590
K 0.0000 1.8323 1.0522
F 4.9447 -0.3027 1.2795
F 4.9447 3.9673 1.2795
F 0.0000 1.8323 4.5660
F 2.1774 3.9673 1.2795
Mg -1.7805 -1.8323 2.5556
F 0.0000 5.4969 1.7581
Cu 3.5611 3.6646 0.0000
F 1.3837 3.9673 3.8317
F -1.3837 3.9673 3.8317
```

---

4.
VASP calculation (PBE) on crystalline K3MgCu2F9 at its relaxed geometry.

Results
**Calculated volume**: 202.1 Å³ per cell
**E**: -67.25 eV for the cell shown
**ΔE to the lowest computed polymorph**: 8 meV/atom

```
15
Lattice="5.7557 0.0000 0.0000 -2.8778 4.9846 0.0000 0.0000 0.0000 7.0440" Properties=species:S:1:pos:R:3 pbc="T T T"
Mg 0.0000 0.0000 3.5220
F 2.8778 0.0000 0.0000
K 0.0000 3.3230 4.6992
F 0.0000 1.6423 2.3584
K 2.8778 1.6615 2.3447
F -1.4556 4.1634 2.3584
F -1.4389 2.4923 0.0000
K 0.0000 0.0000 0.0000
F 1.4556 4.1634 2.3584
Cu 2.8778 1.6615 5.8638
F 4.3334 0.8211 4.6855
F 1.4222 0.8211 4.6855
F 1.4389 2.4923 0.0000
Cu 0.0000 3.3230 1.1801
F 2.8778 3.3423 4.6855
```

---

5.
VASP calculation (PBE) on crystalline K2MgCu2F6 at its relaxed geometry.

Results
**Calculated volume**: 174.5 Å³ per cell
**E**: -48.41 eV for the cell shown

```
11
Lattice="6.1345 0.0000 0.0000 3.0672 5.3126 0.0000 3.0672 1.7709 5.3532" Properties=species:S:1:pos:R:3 pbc="T T T"
F 4.4318 4.5248 1.2441
Cu 6.1345 3.5417 3.9303
Cu 6.1345 3.5417 1.4229
F 7.8372 4.5248 1.2441
K 9.2017 5.3126 3.5081
F 6.1345 1.5756 1.2441
Mg 0.0000 0.0000 0.0000
K 3.0672 1.7709 1.8451
F 6.1345 5.5079 4.1091
F 7.8372 2.5587 4.1091
F 4.4318 2.5587 4.1091
```

---

6.
VASP calculation (PBE) on crystalline K3MgCu2F9 at its relaxed geometry.

Results
**Calculated volume**: 201.7 Å³ per cell
**E**: -67.37 eV for the cell shown
**ΔE to the lowest computed polymorph**: 0 meV/atom

```
15
Lattice="4.0602 0.0000 0.0000 0.0000 4.0602 0.0000 0.0000 0.0000 12.2350" Properties=species:S:1:pos:R:3 pbc="T T T"
F 0.0000 2.0301 4.0835
K 0.0000 0.0000 2.0516
F 2.0301 2.0301 2.0163
Cu 2.0301 2.0301 8.1593
F 2.0301 0.0000 0.0000
F 0.0000 2.0301 0.0000
F 2.0301 2.0301 10.2187
Mg 2.0301 2.0301 0.0000
Cu 2.0301 2.0301 4.0757
F 2.0301 0.0000 4.0835
F 2.0301 2.0301 6.1175
K 0.0000 0.0000 10.1834
F 0.0000 2.0301 8.1515
F 2.0301 0.0000 8.1515
K 0.0000 0.0000 6.1175
```

---

7.
VASP calculation (PBE) on crystalline KMgCu2F8 at its relaxed geometry.

Results
**Calculated volume**: 189.3 Å³ per cell
**E**: -50.71 eV for the cell shown

```
12
Lattice="5.4770 0.0001 0.0000 -2.7386 4.7432 0.0000 0.0000 0.0000 7.2875" Properties=species:S:1:pos:R:3 pbc="T T T"
F -0.0001 3.1621 7.0036
K 0.0000 0.0000 0.0000
F -1.1465 4.6295 4.8335
Mg 0.0000 0.0000 3.6438
Cu -0.0001 3.1621 5.1904
F 0.8945 1.3219 2.4540
F 3.4360 3.3076 2.4540
F -0.6976 1.4356 4.8335
F 1.8439 3.4213 4.8335
F 3.8849 0.1138 2.4540
F 2.7385 1.5811 0.2840
Cu 2.7385 1.5811 2.0971
```